Entry 1:
Rb2PbS: relaxed, PBE.

- Formation energy (no corrections): -1.33 eV per formula unit
- Calculated volume: 48.4 A^3/atom
- Uncorrected energy: -2.77 eV/atom
- Relative energy among the computed polymorphs: 0.0000 eV/atom

a b c (Å): 11.493 11.493 8.640
angles (deg): 48.31 48.31 90.00
Each line ends with the local moment (μB).
Fractional coordinates of all 8 atoms:
Pb 0.000 0.000 0.000  0.33
Pb 0.750 0.250 0.500  0.34
S 0.500 0.500 0.000  0.09
S 0.250 0.750 0.500  0.09
Rb 0.485 0.125 0.250  0.02
Rb 0.265 0.625 0.250  0.02
Rb 0.375 0.515 0.750  0.02
Rb 0.875 0.735 0.750  0.02

Entry 2:
HoErHgPt: relaxed, PBE.

- DFT formation energy: -0.8375 eV per atom
- Calculated volume: 22.9 A^3/atom
- Uncorrected energy: -4.71 eV/atom
- Relative energy among the computed polymorphs: 0.0446 eV/atom

a b c (Å): 5.060 5.060 5.060
angles (deg): 60.00 60.00 60.00
Fractional coordinates of all 4 atoms:
Ho 0.000 0.000 0.000
Hg 0.250 0.250 0.250
Pt 0.750 0.750 0.750
Er 0.500 0.500 0.500

Entry 3:
Mn2AlCoC: relaxed, PBE.

- DFT formation energy: -0.1853 eV per atom
- Calculated volume: 10.9 A^3/atom
- Uncorrected energy: -7.87 eV/atom

a b c (Å): 3.793 3.793 3.784
angles (deg): 90.00 90.00 90.00
Each line ends with the local moment (μB).
Fractional coordinates of all 5 atoms:
C 0.000 0.000 0.000  -0.10
Mn 0.000 0.500 0.000  1.59
Mn 0.500 0.000 0.000  1.59
Co 0.000 0.000 0.500  0.11
Al 0.500 0.500 0.500  -0.05